1.
This record from the Alexandria database describes a relaxed structure of NdNiGe2Ru. The functional is PBE-GGA. Values from VASP.

Computed properties:
The formation energy comes out at -0.642 eV/atom. The energy comes out at -32.3 eV per cell. As for the space-group type: I-4m2, No. 119. For the density of states at the Fermi level, the calculation gives 2.170 states/eV/cell.

Quantum ESPRESSO input file:
```
&SYSTEM
  ibrav = 0, nat = 5, ntyp = 4
/
ATOMIC_SPECIES
Ge 72.64 Ge.upf
Nd 144.24 Nd.upf
Ni 58.69 Ni.upf
Ru 101.07 Ru.upf
ATOMIC_POSITIONS crystal
Ge 0.626 0.626 0.252
Ge 0.374 0.374 0.748
Nd 0.000 0.000 0.000
Ni 0.750 0.250 0.500
Ru 0.250 0.750 0.500
CELL_PARAMETERS angstrom
4.088 0.000 0.000
0.000 4.088 0.000
-2.044 -2.044 5.323
```

=====

2.
This record from the Alexandria database describes a relaxed structure of Nd2Ni3Ge4Ru. The functional is PBE-GGA. Values from VASP.

Computed properties:
The formation energy comes out at -0.682 eV/atom. The energy comes out at -61.4 eV per cell. As for the space-group type: P-4m2, No. 115. For the density of states at the Fermi level, the calculation gives 4.071 states/eV/cell.

Quantum ESPRESSO input file:
```
&SYSTEM
  ibrav = 0, nat = 10, ntyp = 4
/
ATOMIC_SPECIES
Nd 144.24 Nd.upf
Ge 72.64 Ge.upf
Ni 58.69 Ni.upf
Ru 101.07 Ru.upf
ATOMIC_POSITIONS crystal
Nd 0.500 0.000 0.242
Nd 0.000 0.500 0.758
Ge 0.000 0.500 0.366
Ge 0.500 0.500 0.000
Ge 0.000 0.000 0.000
Ge 0.500 0.000 0.634
Ni 0.000 0.500 0.124
Ni 0.500 0.000 0.876
Ni 0.000 0.000 0.500
Ru 0.500 0.500 0.500
CELL_PARAMETERS angstrom
4.151 0.000 0.000
0.000 4.151 0.000
0.000 0.000 9.969
```

=====

3.
This record from the Alexandria database describes a relaxed structure of Nd2Ni4GeSb3. The functional is PBE-GGA. Values from VASP.

Computed properties:
The energy comes out at -56.3 eV per cell. As for the space-group type: P-4m2, No. 115. For the density of states at the Fermi level, the calculation gives 6.594 states/eV/cell. The calculation puts the raw formation energy at -666 meV/atom.

Quantum ESPRESSO input file:
```
&SYSTEM
  ibrav = 0, nat = 10, ntyp = 4
/
ATOMIC_SPECIES
Sb 121.76 Sb.upf
Ni 58.69 Ni.upf
Ge 72.64 Ge.upf
Nd 144.24 Nd.upf
ATOMIC_POSITIONS crystal
Sb 0.500 0.000 0.869
Sb 0.000 0.500 0.131
Sb 0.000 0.000 0.500
Ni 0.000 0.500 0.382
Ni 0.000 0.000 0.000
Ni 0.500 0.000 0.618
Ni 0.500 0.500 0.000
Ge 0.500 0.500 0.500
Nd 0.500 0.000 0.250
Nd 0.000 0.500 0.750
CELL_PARAMETERS angstrom
-3.483 0.929 -2.491
-1.884 -3.759 1.232
-4.290 4.690 7.749
```

=====

4.
This record from the Alexandria database describes a relaxed structure of Nd2Ni4Ge3Sb. The functional is PBE-GGA. Values from VASP.

Computed properties:
The energy comes out at -57.1 eV per cell. As for the space-group type: P-4m2, No. 115. For the density of states at the Fermi level, the calculation gives 6.606 states/eV/cell. The calculation puts the raw formation energy at -648 meV/atom.

Quantum ESPRESSO input file:
```
&SYSTEM
  ibrav = 0, nat = 10, ntyp = 4
/
ATOMIC_SPECIES
Ge 72.64 Ge.upf
Ni 58.69 Ni.upf
Sb 121.76 Sb.upf
Nd 144.24 Nd.upf
ATOMIC_POSITIONS crystal
Ge 0.500 0.000 0.878
Ge 0.000 0.500 0.122
Ge 0.000 0.000 0.500
Ni 0.000 0.500 0.366
Ni 0.000 0.000 0.000
Ni 0.500 0.500 0.000
Ni 0.500 0.000 0.634
Sb 0.500 0.500 0.500
Nd 0.000 0.500 0.764
Nd 0.500 0.000 0.236
CELL_PARAMETERS angstrom
-1.380 -3.992 -0.447
1.615 -0.984 3.803
-8.504 2.463 4.248
```